An optimized crystal structure of Li2TbAg2Sn2. Source: the Alexandria database, functional GGA-PBE.

Properties
**Theoretical density**: 7.043 g/cm³
**Final energy**: -3.563 eV per atom
**Energy of formation**: -0.40 eV/atom

Lattice parameters (Å, degrees): 8.3063 8.3063 8.3063 32.56 32.56 32.56
Closest atoms and distances in Å follow each position.
Fractional coordinates of all 7 atoms:
Li: 0.1397 0.1397 0.1397  3 Ag 2.83, 4 Sn 2.87-3.13, 3 Li 2.98
Li: 0.8603 0.8603 0.8603  3 Ag 2.83, 4 Sn 2.87-3.13, 3 Li 2.98
Tb: 0.0000 0.0000 0.0000  6 Sn 3.18, 2 Li 3.29
Ag: 0.4360 0.4360 0.4360  3 Sn 2.78, 3 Li 2.83, 1 Ag 3.02
Ag: 0.5640 0.5640 0.5640  3 Sn 2.78, 3 Li 2.83, 1 Ag 3.02
Sn: 0.2613 0.2613 0.2613  3 Ag 2.78, 1 Li 2.87
Sn: 0.7387 0.7387 0.7387  3 Ag 2.78, 1 Li 2.87


An optimized crystal structure of LiAgSnTe2. Source: the Alexandria database, functional GGA-PBE.

Properties
**Theoretical density**: 5.570 g/cm³
**Final energy**: -3.353 eV per atom
**Formation energy without anion corrections**: -342 meV per atom

Lattice parameters (Å, degrees): 7.7109 4.8857 7.8585 90.00 100.18 90.00
Closest atoms and distances in Å follow each position.
Fractional coordinates of all 10 atoms:
Li: 0.0000 0.0038 0.2500  4 Te 2.98-3.01, 4 Ag 3.12-3.15
Li: 0.0000 0.9962 0.7500  4 Te 2.98-3.01, 4 Ag 3.12-3.15
Ag: 0.0000 0.5000 0.0000  2 Te 2.64
Ag: 0.0000 0.5000 0.5000  2 Te 2.64
Sn: 0.5000 0.3647 0.7500  6 Te 3.11-3.40
Sn: 0.5000 0.6353 0.2500  6 Te 3.11-3.40
Te: 0.2764 0.1737 0.0440  1 Ag 2.64
Te: 0.2764 0.8263 0.5440  1 Ag 2.64
Te: 0.7236 0.1737 0.4560  1 Ag 2.64
Te: 0.7236 0.8263 0.9560  1 Ag 2.64


An optimized crystal structure of LiAgSnTe3. Source: the Alexandria database, functional GGA-PBE.

Properties
**Theoretical density**: 6.061 g/cm³
**Final energy**: -3.324 eV per atom
**Formation energy without anion corrections**: -292 meV per atom

Lattice parameters (Å, degrees): 8.3969 4.4259 9.1030 90.00 93.45 90.00
Closest atoms and distances in Å follow each position.
Fractional coordinates of all 12 atoms:
Li: 0.1460 0.2500 0.1802  5 Te 2.93-3.00
Li: 0.8540 0.7500 0.8198  5 Te 2.93-3.00
Ag: 0.0953 0.2500 0.5415  3 Te 2.78-2.89, 2 Ag 2.81
Ag: 0.9047 0.7500 0.4585  3 Te 2.78-2.89, 2 Ag 2.81
Sn: 0.3425 0.7500 0.8400  6 Te 3.03-3.20
Sn: 0.6575 0.2500 0.1600  6 Te 3.03-3.20
Te: 0.0940 0.2500 0.8588  1 Ag 2.89, 3 Li 2.93-3.00, 2 Sn 3.05
Te: 0.2880 0.7500 0.5028  2 Ag 2.78, 1 Sn 3.08
Te: 0.3832 0.7500 0.1734  2 Li 2.98, 3 Sn 3.03-3.20, 1 Te 3.15
Te: 0.6168 0.2500 0.8266  2 Li 2.98, 3 Sn 3.03-3.20, 1 Te 3.15
Te: 0.7120 0.2500 0.4972  2 Ag 2.78, 1 Sn 3.08
Te: 0.9060 0.7500 0.1412  1 Ag 2.89, 3 Li 2.93-3.00, 2 Sn 3.05


An optimized crystal structure of LiAg2SnTe4. Source: the Alexandria database, functional GGA-PBE.

Properties
**Theoretical density**: 6.583 g/cm³
**Final energy**: -3.242 eV per atom
**Formation energy without anion corrections**: -219 meV per atom

Lattice parameters (Å, degrees): 7.3320 4.2167 7.4777 90.00 111.67 90.00
Closest atoms and distances in Å follow each position.
Fractional coordinates of all 8 atoms:
Li: 0.0000 0.0000 0.0000  2 Te 2.76
Ag: 0.5000 0.0000 0.5000  4 Te 2.82
Ag: 0.5000 0.5000 0.0000  6 Te 2.91-3.06
Sn: 0.0000 0.5000 0.5000  6 Te 3.05-3.08
Te: 0.2362 0.0000 0.7856  1 Li 2.76, 2 Ag 2.91, 2 Sn 3.05
Te: 0.2753 0.5000 0.2735  3 Ag 2.82-3.06, 1 Sn 3.08, 2 Li 3.11
Te: 0.7247 0.5000 0.7265  3 Ag 2.82-3.06, 1 Sn 3.08, 2 Li 3.11
Te: 0.7638 0.0000 0.2144  1 Li 2.76, 2 Ag 2.91, 2 Sn 3.05


An optimized crystal structure of LiThAgSn. Source: the Alexandria database, functional GGA-PBE.

Properties
**Theoretical density**: 7.945 g/cm³
**Final energy**: -4.324 eV per atom
**Energy of formation**: -0.28 eV/atom

Lattice parameters (Å, degrees): 5.1629 5.1629 5.1629 60.00 60.00 60.00
Closest atoms and distances in Å follow each position.
Fractional coordinates of all 4 atoms:
Li: 0.0000 0.0000 0.0000  4 Sn 3.16, 4 Ag 3.16
Th: 0.5000 0.5000 0.5000  4 Sn 3.16, 4 Ag 3.16
Ag: 0.7500 0.7500 0.7500  4 Th 3.16, 4 Li 3.16
Sn: 0.2500 0.2500 0.2500  4 Th 3.16, 4 Li 3.16


An optimized crystal structure of Li2ThAg2Sn2. Source: the Alexandria database, functional GGA-PBE.

Properties
**Theoretical density**: 7.605 g/cm³
**Final energy**: -3.940 eV per atom
**Energy of formation**: -0.37 eV/atom

Lattice parameters (Å, degrees): 8.5018 8.5018 8.5018 31.92 31.92 31.92
Closest atoms and distances in Å follow each position.
Fractional coordinates of all 7 atoms:
Li: 0.1402 0.1402 0.1402  3 Ag 2.86, 4 Sn 2.86-3.13, 3 Li 2.99
Li: 0.8598 0.8598 0.8598  3 Ag 2.86, 4 Sn 2.86-3.13, 3 Li 2.99
Th: 0.0000 0.0000 0.0000  6 Sn 3.25, 2 Li 3.39
Ag: 0.4350 0.4350 0.4350  3 Sn 2.78, 3 Li 2.86
Ag: 0.5650 0.5650 0.5650  3 Sn 2.78, 3 Li 2.86
Sn: 0.2584 0.2584 0.2584  3 Ag 2.78, 1 Li 2.86
Sn: 0.7416 0.7416 0.7416  3 Ag 2.78, 1 Li 2.86


An optimized crystal structure of LiThAgSn2. Source: the Alexandria database, functional GGA-PBE.

Properties
**Theoretical density**: 8.200 g/cm³
**Final energy**: -4.403 eV per atom
**Energy of formation**: -0.36 eV/atom

Lattice parameters (Å, degrees): 6.8775 6.8775 6.8775 142.77 142.77 53.67
Closest atoms and distances in Å follow each position.
Fractional coordinates of all 5 atoms:
Li: 0.0000 0.0000 0.0000  4 Sn 2.75
Th: 0.2500 0.7500 0.5000  8 Sn 3.41, 4 Ag 3.77, 4 Li 3.77
Ag: 0.5000 0.5000 0.0000  4 Sn 2.75
Sn: 0.6353 0.1353 0.5000  2 Li 2.75, 2 Ag 2.75, 1 Sn 2.82
Sn: 0.8647 0.3647 0.5000  2 Ag 2.75, 2 Li 2.75, 1 Sn 2.82


An optimized crystal structure of LiTiAgSn. Source: the Alexandria database, functional GGA-PBE.

Properties
**Theoretical density**: 6.493 g/cm³
**Final energy**: -4.350 eV per atom
**Energy of formation**: -0.18 eV/atom

Lattice parameters (Å, degrees): 4.6689 4.6689 4.6689 60.00 60.00 60.00
Closest atoms and distances in Å follow each position.
Fractional coordinates of all 4 atoms:
Li: 0.0000 0.0000 0.0000  4 Ag 2.86, 4 Sn 2.86
Ti: 0.5000 0.5000 0.5000  4 Ag 2.86, 4 Sn 2.86
Ag: 0.7500 0.7500 0.7500  4 Ti 2.86, 4 Li 2.86
Sn: 0.2500 0.2500 0.2500  4 Li 2.86, 4 Ti 2.86


An optimized crystal structure of Li5TlAg2Sn2. Source: the Alexandria database, functional GGA-PBE.

Properties
**Theoretical density**: 5.911 g/cm³
**Final energy**: -2.753 eV per atom
**Energy of formation**: -0.19 eV/atom

Lattice parameters (Å, degrees): 10.0924 10.0924 3.8183 90.00 90.00 90.00
Closest atoms and distances in Å follow each position.
Fractional coordinates of all 20 atoms:
Li: 0.0000 0.5000 0.0000  4 Ag 2.65
Li: 0.0697 0.2014 0.0000  2 Ag 2.63, 2 Tl 2.88
Li: 0.2014 0.9303 0.0000  2 Ag 2.63, 2 Tl 2.88
Li: 0.2986 0.4303 0.0000  2 Ag 2.63, 2 Tl 2.88
Li: 0.4303 0.7014 0.0000  2 Ag 2.63, 2 Tl 2.88
Li: 0.5000 0.0000 0.0000  4 Ag 2.65
Li: 0.5697 0.2986 0.0000  2 Ag 2.63, 2 Tl 2.88
Li: 0.7014 0.5697 0.0000  2 Ag 2.63, 2 Tl 2.88
Li: 0.7986 0.0697 0.0000  2 Ag 2.63, 2 Tl 2.88
Li: 0.9303 0.7986 0.0000  2 Ag 2.63, 2 Tl 2.88
Tl: 0.0000 0.0000 0.5000  8 Li 2.88
Tl: 0.5000 0.5000 0.5000  8 Li 2.88
Ag: 0.1285 0.3715 0.5000  6 Li 2.63-2.65, 1 Sn 2.91
Ag: 0.3715 0.8715 0.5000  6 Li 2.63-2.65, 1 Sn 2.91
Ag: 0.6285 0.1285 0.5000  6 Li 2.63-2.65, 1 Sn 2.91
Ag: 0.8715 0.6285 0.5000  6 Li 2.63-2.65, 1 Sn 2.91
Sn: 0.1679 0.6679 0.5000  3 Ag 2.91-3.02, 2 Li 3.06
Sn: 0.3321 0.1679 0.5000  3 Ag 2.91-3.02, 2 Li 3.06
Sn: 0.6679 0.8321 0.5000  3 Ag 2.91-3.02, 2 Li 3.06
Sn: 0.8321 0.3321 0.5000  3 Ag 2.91-3.02, 2 Li 3.06


An optimized crystal structure of LiTmAgSn. Source: the Alexandria database, functional GGA-PBE.

Properties
**Theoretical density**: 7.730 g/cm³
**Final energy**: -3.739 eV per atom
**Energy of formation**: -0.43 eV/atom

Lattice parameters (Å, degrees): 4.9633 4.9633 4.9633 60.00 60.00 60.00
Closest atoms and distances in Å follow each position.
Fractional coordinates of all 4 atoms:
Li: 0.0000 0.0000 0.0000  4 Sn 3.04, 4 Ag 3.04
Tm: 0.5000 0.5000 0.5000  4 Sn 3.04, 4 Ag 3.04
Ag: 0.2500 0.2500 0.2500  4 Li 3.04, 4 Tm 3.04
Sn: 0.7500 0.7500 0.7500  4 Tm 3.04, 4 Li 3.04


An optimized crystal structure of Li2YAg2Sn2. Source: the Alexandria database, functional GGA-PBE.

Properties
**Theoretical density**: 6.264 g/cm³
**Final energy**: -3.827 eV per atom
**Energy of formation**: -0.40 eV/atom

Lattice parameters (Å, degrees): 8.2954 8.2954 8.2954 32.60 32.60 32.60
Closest atoms and distances in Å follow each position.
Fractional coordinates of all 7 atoms:
Li: 0.1394 0.1394 0.1394  3 Ag 2.83, 4 Sn 2.87-3.12, 3 Li 2.98
Li: 0.8606 0.8606 0.8606  3 Ag 2.83, 4 Sn 2.87-3.12, 3 Li 2.98
Y: 0.0000 0.0000 0.0000  6 Sn 3.18, 2 Li 3.28
Ag: 0.4359 0.4359 0.4359  3 Sn 2.78, 3 Li 2.83, 1 Ag 3.02
Ag: 0.5641 0.5641 0.5641  3 Sn 2.78, 3 Li 2.83, 1 Ag 3.02
Sn: 0.2613 0.2613 0.2613  3 Ag 2.78, 1 Li 2.87
Sn: 0.7387 0.7387 0.7387  3 Ag 2.78, 1 Li 2.87


An optimized crystal structure of LiZnAgSn. Source: the Alexandria database, functional GGA-PBE.

Properties
**Theoretical density**: 6.660 g/cm³
**E above lowest polymorph**: 28 meV per atom
**Final energy**: -2.638 eV per atom
**Energy of formation**: -0.13 eV/atom

Lattice parameters (Å, degrees): 4.7237 4.7237 4.7237 60.00 60.00 60.00
Closest atoms and distances in Å follow each position.
Fractional coordinates of all 4 atoms:
Li: 0.0000 0.0000 0.0000  4 Ag 2.89, 4 Zn 2.89
Zn: 0.2500 0.2500 0.2500  4 Sn 2.89, 4 Li 2.89
Ag: 0.7500 0.7500 0.7500  4 Sn 2.89, 4 Li 2.89
Sn: 0.5000 0.5000 0.5000  4 Ag 2.89, 4 Zn 2.89


Question: final energy of number 9 (Li5TlAg2Sn2)?
Answer: -2.753 eV per atom